[1]
First-principles (GGA-PBE) data for a relaxed structure of SiC2, as listed in Alexandria via LeMat-Bulk.

Geometry as POSCAR:
```
SiC2
1.0
2.618 -1.516 0.000
2.618 1.516 0.000
-1.761 0.000 3.942
Si C
1 2
Cartesian
0.000 0.000 0.000 Si
3.487 0.000 0.808 C
3.488 0.000 2.174 C
```

- SG: No. 8
- Crystal system: monoclinic
- Calculated total energy: -7.22 eV per atom



[2]
First-principles (GGA-PBE) data for a relaxed structure of Si2C, as listed in Alexandria via LeMat-Bulk.

Geometry as POSCAR:
```
Si2C
1.0
5.176 0.000 0.000
0.000 5.176 0.000
0.000 0.000 5.176
Si C
8 4
Cartesian
0.694 0.694 0.694 Si
0.694 1.894 3.283 Si
1.894 3.283 0.694 Si
1.894 4.482 3.283 Si
3.283 0.694 1.894 Si
3.283 1.894 4.482 Si
4.482 3.283 1.894 Si
4.482 4.482 4.482 Si
0.000 0.000 2.588 C
0.000 2.588 0.000 C
2.588 0.000 0.000 C
2.588 2.588 2.588 C
```

- SG: No. 205
- Crystal system: cubic
- Calculated total energy: -5.67 eV per atom